Material: FeMoW2
Method: DFT, PBE
State: relaxed

Summary:
**Size of the total moment**: 2.43 μB/f.u.
**Energy above the most stable polymorph in this dataset**: 0.051 eV per atom
**Space-group type**: C2/m
**Energy**: -44.7 eV/cell
**Formation energy from the elements**: 0.122 eV/atom

Lattice parameters (Å, degrees): 5.179 5.179 2.689 100.23 100.23 116.76
Sites, in units of the cell vectors:
Fe  0.000  0.000  0.000
Mo  0.500  0.500  0.000
W  0.000  0.500  0.500
W  0.500  0.000  0.500

Material: MgInHg3
Method: DFT, PBE
State: relaxed

Summary:
**Size of the total moment**: 0.00 μB/f.u.
**Energy above the most stable polymorph in this dataset**: 0.000 eV per atom
**Space-group type**: C2/m
**Energy**: -11.1 eV/cell
**Formation energy from the elements**: -0.064 eV/atom

Lattice parameters (Å, degrees): 5.872 5.872 8.618 100.25 100.25 114.38
Sites, in units of the cell vectors:
Mg  0.250  0.750  0.000
Mg  0.750  0.250  0.000
In  0.250  0.250  0.499
In  0.750  0.750  0.501
Hg  0.137  0.638  0.306
Hg  0.250  0.250  0.000
Hg  0.362  0.863  0.694
Hg  0.638  0.137  0.306
Hg  0.750  0.750  0.000
Hg  0.863  0.362  0.694

Material: Ce2NbReN5
Method: DFT, PBE
State: relaxed

Summary:
**Size of the total moment**: 1.05 μB/f.u.
**ΔE_f (raw)**: -0.834 eV/atom
**Space-group type**: P4/mmm
**Energy**: -83.5 eV/cell

Lattice parameters (Å, degrees): 3.832 3.832 8.273 90.00 90.00 90.00
Sites, in units of the cell vectors:
Ce  0.000  0.000  0.220
Ce  0.000  0.000  0.780
Nb  0.500  0.500  0.500
Re  0.500  0.500  0.000
N  0.000  0.000  0.500
N  0.000  0.500  0.000
N  0.500  0.000  0.000
N  0.500  0.500  0.259
N  0.500  0.500  0.741

Material: BePt2
Method: DFT, PBE
State: relaxed

Summary:
**Size of the total moment**: 0.00 μB/f.u.
**Space-group type**: I4_1/amd
**Energy**: -34.9 eV/cell
**Formation energy from the elements**: -0.541 eV/atom

Lattice parameters (Å, degrees): 10.680 10.680 10.680 165.11 165.11 21.12
Sites, in units of the cell vectors:
Be  0.375  0.625  0.750
Be  0.625  0.375  0.250
Pt  0.057  0.807  0.250
Pt  0.193  0.943  0.250
Pt  0.807  0.057  0.750
Pt  0.943  0.193  0.750